{
  "formula": "AgTeMo2",
  "functional": "PBE",
  "state": "optimized geometry",
  "final_energy_ev_per_atom": -6.248,
  "space_group": "No. 166",
  "raw_formation_energy_ev_per_atom": 0.67,
  "density_g_cm3": 9.78,
  "lattice": [[3.070, 0.000, 0.000], [-1.535, 2.658, 0.000], [0.000, 0.000, 26.688]],
  "species": ["Ag", "Ag", "Ag", "Te", "Te", "Te", "Mo", "Mo", "Mo", "Mo", "Mo", "Mo"],
  "fractional_positions": [[0.000, 0.000, 0.000], [0.333, 0.667, 0.667], [0.667, 0.333, 0.333], [0.000, 0.000, 0.500], [0.333, 0.667, 0.167], [0.667, 0.333, 0.833], [0.000, 0.000, 0.246], [0.000, 0.000, 0.754], [0.333, 0.667, 0.420], [0.333, 0.667, 0.913], [0.667, 0.333, 0.087], [0.667, 0.333, 0.580]]
}

{
  "formula": "Ag2Te2Mo",
  "functional": "PBE",
  "state": "optimized geometry",
  "e_above_lowest_polymorph_mev_per_atom": 0,
  "final_energy_ev_per_atom": -3.974,
  "space_group": "No. 127",
  "raw_formation_energy_ev_per_atom": 0.59,
  "density_g_cm3": 8.29,
  "lattice": [[7.654, 0.000, 0.000], [0.000, 7.654, 0.000], [0.000, 0.000, 3.875]],
  "species": ["Ag", "Ag", "Ag", "Ag", "Te", "Te", "Te", "Te", "Mo", "Mo"],
  "fractional_positions": [[0.126, 0.374, 0.000], [0.374, 0.874, 0.000], [0.626, 0.126, 0.000], [0.874, 0.626, 0.000], [0.185, 0.685, 0.500], [0.315, 0.185, 0.500], [0.685, 0.815, 0.500], [0.815, 0.315, 0.500], [0.000, 0.000, 0.000], [0.500, 0.500, 0.000]]
}

{
  "formula": "AgTeMo2",
  "functional": "PBE",
  "state": "optimized geometry",
  "final_energy_ev_per_atom": -6.283,
  "space_group": "No. 71",
  "raw_formation_energy_ev_per_atom": 0.63,
  "density_g_cm3": 9.83,
  "lattice": [[3.364, 0.000, 0.000], [0.000, 4.628, 0.000], [0.000, 0.000, 9.269]],
  "species": ["Ag", "Ag", "Te", "Te", "Mo", "Mo", "Mo", "Mo"],
  "fractional_positions": [[0.000, 0.000, 0.000], [0.500, 0.500, 0.500], [0.000, 0.000, 0.500], [0.500, 0.500, 0.000], [0.000, 0.500, 0.234], [0.000, 0.500, 0.766], [0.500, 0.000, 0.266], [0.500, 0.000, 0.734]]
}

{
  "formula": "Ag2TeMo",
  "functional": "PBE",
  "state": "optimized geometry",
  "final_energy_ev_per_atom": -4.441,
  "space_group": "No. 12",
  "raw_formation_energy_ev_per_atom": 0.48,
  "density_g_cm3": 9.56,
  "lattice": [[11.350, 0.000, 0.000], [0.000, 3.217, 0.000], [-1.816, 0.000, 4.179]],
  "species": ["Ag", "Ag", "Ag", "Ag", "Te", "Te", "Mo", "Mo"],
  "fractional_positions": [[0.244, 0.000, 0.244], [0.256, 0.500, 0.756], [0.744, 0.500, 0.244], [0.756, 0.000, 0.756], [0.000, 0.000, 0.500], [0.500, 0.500, 0.500], [0.000, 0.500, 0.000], [0.500, 0.000, 0.000]]
}

{
  "formula": "Ag2TeMo",
  "functional": "PBE",
  "state": "optimized geometry",
  "final_energy_ev_per_atom": -4.400,
  "space_group": "No. 119",
  "raw_formation_energy_ev_per_atom": 0.52,
  "density_g_cm3": 9.73,
  "lattice": [[4.190, 0.000, 0.000], [0.000, 4.190, 0.000], [0.000, 0.000, 8.541]],
  "species": ["Ag", "Ag", "Ag", "Ag", "Te", "Te", "Mo", "Mo"],
  "fractional_positions": [[0.000, 0.000, 0.000], [0.000, 0.500, 0.250], [0.500, 0.000, 0.750], [0.500, 0.500, 0.500], [0.000, 0.500, 0.750], [0.500, 0.000, 0.250], [0.000, 0.000, 0.500], [0.500, 0.500, 0.000]]
}

{
  "formula": "Ag2TeMo",
  "functional": "PBE",
  "state": "optimized geometry",
  "final_energy_ev_per_atom": -4.555,
  "space_group": "No. 160",
  "raw_formation_energy_ev_per_atom": 0.36,
  "density_g_cm3": 8.95,
  "lattice": [[3.211, 0.000, 0.000], [-1.605, 2.781, 0.000], [0.000, 0.000, 27.373]],
  "species": ["Ag", "Ag", "Ag", "Ag", "Ag", "Ag", "Te", "Te", "Te", "Mo", "Mo", "Mo"],
  "fractional_positions": [[0.000, 0.000, 0.000], [0.000, 0.000, 0.254], [0.333, 0.667, 0.667], [0.333, 0.667, 0.921], [0.667, 0.333, 0.333], [0.667, 0.333, 0.587], [0.000, 0.000, 0.769], [0.333, 0.667, 0.435], [0.667, 0.333, 0.102], [0.000, 0.000, 0.506], [0.333, 0.667, 0.173], [0.667, 0.333, 0.840]]
}

{
  "formula": "AgTeMo2",
  "functional": "PBE",
  "state": "optimized geometry",
  "final_energy_ev_per_atom": -6.238,
  "space_group": "No. 10",
  "raw_formation_energy_ev_per_atom": 0.68,
  "density_g_cm3": 9.55,
  "lattice": [[3.015, 0.000, 0.000], [0.000, 4.620, 0.000], [-0.652, 0.000, 5.333]],
  "species": ["Ag", "Te", "Mo", "Mo"],
  "fractional_positions": [[0.000, 0.000, 0.000], [0.500, 0.000, 0.500], [0.339, 0.500, 0.776], [0.661, 0.500, 0.224]]
}

{
  "formula": "AgTeMo2",
  "functional": "PBE",
  "state": "optimized geometry",
  "final_energy_ev_per_atom": -6.220,
  "space_group": "No. 216",
  "raw_formation_energy_ev_per_atom": 0.69,
  "density_g_cm3": 9.76,
  "lattice": [[6.626, 0.000, 0.000], [0.000, 6.626, 0.000], [0.000, 0.000, 6.626]],
  "species": ["Ag", "Ag", "Ag", "Ag", "Te", "Te", "Te", "Te", "Mo", "Mo", "Mo", "Mo", "Mo", "Mo", "Mo", "Mo"],
  "fractional_positions": [[0.000, 0.000, 0.000], [0.000, 0.500, 0.500], [0.500, 0.000, 0.500], [0.500, 0.500, 0.000], [0.250, 0.250, 0.250], [0.250, 0.750, 0.750], [0.750, 0.250, 0.750], [0.750, 0.750, 0.250], [0.000, 0.000, 0.500], [0.000, 0.500, 0.000], [0.250, 0.250, 0.750], [0.250, 0.750, 0.250], [0.500, 0.000, 0.000], [0.500, 0.500, 0.500], [0.750, 0.250, 0.250], [0.750, 0.750, 0.750]]
}

{
  "formula": "Ag2TeMo",
  "functional": "PBE",
  "state": "optimized geometry",
  "final_energy_ev_per_atom": -4.396,
  "space_group": "No. 65",
  "raw_formation_energy_ev_per_atom": 0.52,
  "density_g_cm3": 8.92,
  "lattice": [[4.128, 0.000, 0.000], [0.000, 4.141, 0.000], [0.000, 0.000, 9.572]],
  "species": ["Ag", "Ag", "Ag", "Ag", "Te", "Te", "Mo", "Mo"],
  "fractional_positions": [[0.000, 0.000, 0.215], [0.000, 0.000, 0.785], [0.500, 0.500, 0.215], [0.500, 0.500, 0.785], [0.000, 0.500, 0.500], [0.500, 0.000, 0.500], [0.000, 0.500, 0.000], [0.500, 0.000, 0.000]]
}

{
  "formula": "Ag2TeMo",
  "functional": "PBE",
  "state": "optimized geometry",
  "final_energy_ev_per_atom": -4.522,
  "space_group": "No. 8",
  "raw_formation_energy_ev_per_atom": 0.40,
  "density_g_cm3": 9.29,
  "lattice": [[9.770, 0.000, 0.000], [0.000, 3.267, 0.000], [-2.117, 0.000, 4.921]],
  "species": ["Ag", "Ag", "Ag", "Ag", "Te", "Te", "Mo", "Mo"],
  "fractional_positions": [[0.000, 0.000, 0.000], [0.246, 0.000, 0.882], [0.500, 0.500, 0.000], [0.746, 0.500, 0.882], [0.453, 0.000, 0.451], [0.953, 0.500, 0.451], [0.232, 0.500, 0.417], [0.732, 0.000, 0.417]]
}

{
  "formula": "Ag2TeMo",
  "functional": "PBE",
  "state": "optimized geometry",
  "final_energy_ev_per_atom": -4.236,
  "space_group": "No. 122",
  "raw_formation_energy_ev_per_atom": 0.68,
  "density_g_cm3": 8.71,
  "lattice": [[7.912, 0.000, 0.000], [0.000, 7.912, 0.000], [0.000, 0.000, 5.349]],
  "species": ["Ag", "Ag", "Ag", "Ag", "Ag", "Ag", "Ag", "Ag", "Te", "Te", "Te", "Te", "Mo", "Mo", "Mo", "Mo"],
  "fractional_positions": [[0.248, 0.250, 0.125], [0.250, 0.748, 0.375], [0.250, 0.752, 0.875], [0.252, 0.250, 0.625], [0.748, 0.750, 0.625], [0.750, 0.248, 0.875], [0.750, 0.252, 0.375], [0.752, 0.750, 0.125], [0.000, 0.000, 0.500], [0.000, 0.500, 0.750], [0.500, 0.000, 0.250], [0.500, 0.500, 0.000], [0.000, 0.000, 0.000], [0.000, 0.500, 0.250], [0.500, 0.000, 0.750], [0.500, 0.500, 0.500]]
}

{
  "formula": "Ag2TeMo",
  "functional": "PBE",
  "state": "optimized geometry",
  "final_energy_ev_per_atom": -4.367,
  "space_group": "No. 216",
  "raw_formation_energy_ev_per_atom": 0.55,
  "density_g_cm3": 9.71,
  "lattice": [[6.697, 0.000, 0.000], [0.000, 6.697, 0.000], [0.000, 0.000, 6.697]],
  "species": ["Ag", "Ag", "Ag", "Ag", "Ag", "Ag", "Ag", "Ag", "Te", "Te", "Te", "Te", "Mo", "Mo", "Mo", "Mo"],
  "fractional_positions": [[0.000, 0.000, 0.000], [0.000, 0.500, 0.500], [0.250, 0.250, 0.250], [0.250, 0.750, 0.750], [0.500, 0.000, 0.500], [0.500, 0.500, 0.000], [0.750, 0.250, 0.750], [0.750, 0.750, 0.250], [0.250, 0.250, 0.750], [0.250, 0.750, 0.250], [0.750, 0.250, 0.250], [0.750, 0.750, 0.750], [0.000, 0.000, 0.500], [0.000, 0.500, 0.000], [0.500, 0.000, 0.000], [0.500, 0.500, 0.500]]
}